No. 1
The following is a DFT calculation (PBE-GGA) of crystalline TcAuIO2 at its relaxed geometry.

Summary:
**Raw formation energy**: -2.286 eV/f.u.
**M_tot**: 0.0 μB per cell
**Density of states at the Fermi level**: 0.434 states/eV per atom
**Volume**: 18.12 Å³/atom

Unit cell a=3.8748 b=3.8748 c=6.0353 alpha=90.00 beta=90.00 gamma=90.00
Space group P4/mmm (No. 123)
One atom of each set of equivalent atoms:
1 Tc 0.0000 0.0000 0.0000
2 Au 0.5000 0.5000 0.5000
3 I 0.0000 0.0000 0.5000
4 O 0.0000 0.5000 0.0000

---

No. 2
The following is a DFT calculation (PBE-GGA) of crystalline TeAuI2O at its relaxed geometry.

Summary:
**Raw formation energy**: 2.695 eV/f.u.
**M_tot**: 0.0 μB per cell
**Density of states at the Fermi level**: 0.626 states/eV per atom
**Volume**: 25.20 Å³/atom

Unit cell a=5.2998 b=5.2998 c=4.4867 alpha=90.00 beta=90.00 gamma=90.00
Space group P4/mmm (No. 123)
One atom of each set of equivalent atoms:
1 Te 0.0000 0.0000 0.0000
2 Au 0.5000 0.5000 0.0000
3 I 0.0000 0.5000 0.5000
4 O 0.0000 0.0000 0.5000

---

No. 3
The following is a DFT calculation (PBE-GGA) of crystalline TeAuI2O at its relaxed geometry.

Summary:
**Raw formation energy**: 1.989 eV/f.u.
**M_tot**: 0.0 μB per cell
**Density of states at the Fermi level**: 1.573 states/eV per atom
**Volume**: 27.21 Å³/atom

Unit cell a=5.8453 b=5.8453 c=3.9817 alpha=90.00 beta=90.00 gamma=90.00
Space group P4/mmm (No. 123)
One atom of each set of equivalent atoms:
1 Te 0.0000 0.0000 0.0000
2 Au 0.5000 0.5000 0.5000
3 I 0.0000 0.5000 0.5000
4 O 0.5000 0.5000 0.0000

---

No. 4
The following is a DFT calculation (PBE-GGA) of crystalline TeAuI2O at its relaxed geometry.

Summary:
**Raw formation energy**: 0.786 eV/f.u.
**M_tot**: 0.0 μB per cell
**Density of states at the Fermi level**: 0.613 states/eV per atom
**Volume**: 29.81 Å³/atom

Unit cell a=6.0776 b=6.0776 c=4.0352 alpha=90.00 beta=90.00 gamma=90.00
Space group P4/mmm (No. 123)
One atom of each set of equivalent atoms:
1 Te 0.0000 0.0000 0.0000
2 Au 0.5000 0.5000 0.5000
3 I 0.0000 0.5000 0.0000
4 O 0.0000 0.0000 0.5000

---

No. 5
The following is a DFT calculation (PBE-GGA) of crystalline TeAuI2O at its relaxed geometry.

Summary:
**Raw formation energy**: 4.959 eV/f.u.
**M_tot**: 0.0 μB per cell
**Density of states at the Fermi level**: 3.061 states/eV per atom
**Volume**: 33.84 Å³/atom

Unit cell a=5.5427 b=5.5427 c=5.5078 alpha=90.00 beta=90.00 gamma=90.00
Space group P4/mmm (No. 123)
One atom of each set of equivalent atoms:
1 Te 0.0000 0.0000 0.0000
2 Au 0.0000 0.0000 0.5000
3 I 0.0000 0.5000 0.5000
4 O 0.5000 0.5000 0.0000

---

No. 6
The following is a DFT calculation (PBE-GGA) of crystalline TiAuIO2 at its relaxed geometry.

Summary:
**Raw formation energy**: -6.105 eV/f.u.
**M_tot**: 0.0 μB per cell
**Density of states at the Fermi level**: 0.206 states/eV per atom
**Volume**: 18.55 Å³/atom

Unit cell a=3.8781 b=3.8781 c=6.1667 alpha=90.00 beta=90.00 gamma=90.00
Space group P4/mmm (No. 123)
One atom of each set of equivalent atoms:
1 Ti 0.0000 0.0000 0.0000
2 Au 0.5000 0.5000 0.5000
3 I 0.0000 0.0000 0.5000
4 O 0.0000 0.5000 0.0000

---

No. 7
The following is a DFT calculation (PBE-GGA) of crystalline TiAuIO2 at its relaxed geometry.

Summary:
**Raw formation energy**: 2.496 eV/f.u.
**M_tot**: 0.3 μB per cell
**Density of states at the Fermi level**: 1.334 states/eV per atom
**Volume**: 19.03 Å³/atom

Unit cell a=4.1272 b=4.1272 c=5.5847 alpha=90.00 beta=90.00 gamma=90.00
Space group P4/mmm (No. 123)
One atom of each set of equivalent atoms:
1 Ti 0.0000 0.0000 0.0000
2 Au 0.5000 0.5000 0.5000
3 I 0.5000 0.5000 0.0000
4 O 0.0000 0.5000 0.5000

---

No. 8
The following is a DFT calculation (PBE-GGA) of crystalline TiAuI2O at its relaxed geometry.

Summary:
**Raw formation energy**: -3.751 eV/f.u.
**M_tot**: 0.7 μB per cell
**Density of states at the Fermi level**: 0.474 states/eV per atom
**Volume**: 24.03 Å³/atom

Unit cell a=5.6663 b=5.6663 c=3.7416 alpha=90.00 beta=90.00 gamma=90.00
Space group P4/mmm (No. 123)
One atom of each set of equivalent atoms:
1 Ti 0.0000 0.0000 0.0000
2 Au 0.5000 0.5000 0.5000
3 I 0.0000 0.5000 0.0000
4 O 0.0000 0.0000 0.5000

---

No. 9
The following is a DFT calculation (PBE-GGA) of crystalline TiAuI2O at its relaxed geometry.

Summary:
**Raw formation energy**: 1.827 eV/f.u.
**M_tot**: 3.0 μB per cell
**Density of states at the Fermi level**: 1.184 states/eV per atom
**Volume**: 26.72 Å³/atom

Unit cell a=5.8095 b=5.8095 c=3.9591 alpha=90.00 beta=90.00 gamma=90.00
Space group P4/mmm (No. 123)
One atom of each set of equivalent atoms:
1 Ti 0.0000 0.0000 0.0000
2 Au 0.5000 0.5000 0.5000
3 I 0.0000 0.5000 0.5000
4 O 0.5000 0.5000 0.0000

---

No. 10
The following is a DFT calculation (PBE-GGA) of crystalline TlAuI2O at its relaxed geometry.

Summary:
**Raw formation energy**: -0.311 eV/f.u.
**M_tot**: 0.0 μB per cell
**Density of states at the Fermi level**: 1.159 states/eV per atom
**Volume**: 28.92 Å³/atom

Unit cell a=5.9700 b=5.9700 c=4.0572 alpha=90.00 beta=90.00 gamma=90.00
Space group P4/mmm (No. 123)
One atom of each set of equivalent atoms:
1 Tl 0.0000 0.0000 0.0000
2 Au 0.5000 0.5000 0.5000
3 I 0.0000 0.5000 0.5000
4 O 0.5000 0.5000 0.0000

---

No. 11
The following is a DFT calculation (PBE-GGA) of crystalline TlAuIO2 at its relaxed geometry.

Summary:
**Raw formation energy**: 0.494 eV/f.u.
**M_tot**: 0.0 μB per cell
**Density of states at the Fermi level**: 0.338 states/eV per atom
**Volume**: 23.03 Å³/atom

Unit cell a=4.0771 b=4.0771 c=6.9272 alpha=90.00 beta=90.00 gamma=90.00
Space group P4/mmm (No. 123)
One atom of each set of equivalent atoms:
1 Tl 0.0000 0.0000 0.0000
2 Au 0.5000 0.5000 0.0000
3 I 0.0000 0.0000 0.5000
4 O 0.0000 0.5000 0.5000

---

No. 12
The following is a DFT calculation (PBE-GGA) of crystalline TlAuI2O at its relaxed geometry.

Summary:
**Raw formation energy**: 1.482 eV/f.u.
**M_tot**: 0.0 μB per cell
**Density of states at the Fermi level**: 0.709 states/eV per atom
**Volume**: 30.64 Å³/atom

Unit cell a=6.1625 b=6.1625 c=4.0341 alpha=90.00 beta=90.00 gamma=90.00
Space group P4/mmm (No. 123)
One atom of each set of equivalent atoms:
1 Tl 0.0000 0.0000 0.0000
2 Au 0.5000 0.5000 0.5000
3 I 0.0000 0.5000 0.0000
4 O 0.0000 0.0000 0.5000

---

No. 13
The following is a DFT calculation (PBE-GGA) of crystalline TlAuIO2 at its relaxed geometry.

Summary:
**Raw formation energy**: 1.244 eV/f.u.
**M_tot**: 0.0 μB per cell
**Density of states at the Fermi level**: 0.781 states/eV per atom
**Volume**: 25.23 Å³/atom

Unit cell a=4.1119 b=4.1119 c=7.4611 alpha=90.00 beta=90.00 gamma=90.00
Space group P4/mmm (No. 123)
One atom of each set of equivalent atoms:
1 Tl 0.0000 0.0000 0.0000
2 Au 0.5000 0.5000 0.5000
3 I 0.0000 0.0000 0.5000
4 O 0.0000 0.5000 0.0000

---

No. 14
The following is a DFT calculation (PBE-GGA) of crystalline TlAuIO2 at its relaxed geometry.

Summary:
**Raw formation energy**: 1.717 eV/f.u.
**M_tot**: 0.0 μB per cell
**Density of states at the Fermi level**: 2.176 states/eV per atom
**Volume**: 21.45 Å³/atom

Unit cell a=4.3805 b=4.3805 c=5.5897 alpha=90.00 beta=90.00 gamma=90.00
Space group P4/mmm (No. 123)
One atom of each set of equivalent atoms:
1 Tl 0.0000 0.0000 0.0000
2 Au 0.5000 0.5000 0.5000
3 I 0.5000 0.5000 0.0000
4 O 0.0000 0.5000 0.5000